[1]
# Y2Np3S8 PBE optimized geometry
data_Y2Np3S8
_chemical_formula_sum 'Y4 Np6 S16'
_symmetry_space_group_name_H-M 'C 1 2/m 1'
_symmetry_Int_Tables_number 12
_symmetry_space_group_name_Hall '-C 2y'
_cell_length_a 13.8571
_cell_length_b 7.8603
_cell_length_c 6.7630
_cell_angle_alpha 90.00
_cell_angle_beta 109.60
_cell_angle_gamma 90.00
loop_
_atom_site_label
_atom_site_type_symbol
_atom_site_fract_x
_atom_site_fract_y
_atom_site_fract_z
Y1 Y 0.2365 0.0000 0.1609
Np1 Np 0.0000 0.2413 0.5000
Np2 Np 0.0000 0.5000 0.0000
S1 S 0.1110 0.0000 0.3956
S2 S 0.1157 0.5000 0.4277
S3 S 0.1263 0.2653 0.9085
# Uncorrected formation energy in eV per atom: -1.517
# Density of states at the Fermi level in states/eV per atom: 2.336
# Crystal system: monoclinic
# Total energy in hartree per atom: -0.295

[2]
# YNp2S4 PBE optimized geometry
data_YNp2S4
_chemical_formula_sum 'Y2 Np4 S8'
_symmetry_space_group_name_H-M 'P b a m'
_symmetry_Int_Tables_number 55
_symmetry_space_group_name_Hall '-P 2 2ab'
_cell_length_a 7.0435
_cell_length_b 11.0763
_cell_length_c 4.0862
_cell_angle_alpha 90.00
_cell_angle_beta 90.00
_cell_angle_gamma 90.00
loop_
_atom_site_label
_atom_site_type_symbol
_atom_site_fract_x
_atom_site_fract_y
_atom_site_fract_z
Y1 Y 0.0000 0.0000 0.0000
Np1 Np 0.1049 0.3117 0.5000
S1 S 0.1283 0.7743 0.0000
S2 S 0.2474 0.5497 0.5000
# Uncorrected formation energy in eV per atom: -1.586
# Density of states at the Fermi level in states/eV per atom: 2.505
# Crystal system: orthorhombic
# Total energy in hartree per atom: -0.315

[3]
# YNp2S6 PBE optimized geometry
data_YNp2S6
_chemical_formula_sum 'Y2 Np4 S12'
_symmetry_space_group_name_H-M 'C 1 2/m 1'
_symmetry_Int_Tables_number 12
_symmetry_space_group_name_Hall '-C 2y'
_cell_length_a 13.3641
_cell_length_b 5.1040
_cell_length_c 8.7665
_cell_angle_alpha 90.00
_cell_angle_beta 127.22
_cell_angle_gamma 90.00
loop_
_atom_site_label
_atom_site_type_symbol
_atom_site_fract_x
_atom_site_fract_y
_atom_site_fract_z
Y1 Y 0.0000 0.0000 0.0000
Np1 Np 0.1824 0.0000 0.6067
S1 S 0.0396 0.0000 0.7229
S2 S 0.1290 0.5000 0.0508
S3 S 0.2416 0.5000 0.6216
# Uncorrected formation energy in eV per atom: -1.291
# Density of states at the Fermi level in states/eV per atom: 2.168
# Crystal system: monoclinic
# Total energy in hartree per atom: -0.281

[4]
# YNp6S12 PBE optimized geometry
data_YNp6S12
_chemical_formula_sum 'Y3 Np18 S36'
_symmetry_space_group_name_H-M 'R -3'
_symmetry_Int_Tables_number 148
_symmetry_space_group_name_Hall '-R 3'
_cell_length_a 12.0388
_cell_length_b 12.0388
_cell_length_c 11.0474
_cell_angle_alpha 90.00
_cell_angle_beta 90.00
_cell_angle_gamma 120.00
loop_
_atom_site_label
_atom_site_type_symbol
_atom_site_fract_x
_atom_site_fract_y
_atom_site_fract_z
Y1 Y 0.0000 0.0000 0.0000
Np1 Np 0.0479 0.2665 0.6462
S1 S 0.0344 0.2175 0.3950
S2 S 0.0481 0.2158 0.8866
# Uncorrected formation energy in eV per atom: -1.435
# Density of states at the Fermi level in states/eV per atom: 2.852
# Crystal system: trigonal
# Total energy in hartree per atom: -0.311

[5]
# Y2NpS4 PBE optimized geometry
data_Y2NpS4
_chemical_formula_sum 'Y8 Np4 S16'
_symmetry_space_group_name_H-M 'C m c m'
_symmetry_Int_Tables_number 63
_symmetry_space_group_name_Hall '-C 2c 2'
_cell_length_a 3.8607
_cell_length_b 12.9521
_cell_length_c 13.0319
_cell_angle_alpha 90.00
_cell_angle_beta 90.00
_cell_angle_gamma 90.00
loop_
_atom_site_label
_atom_site_type_symbol
_atom_site_fract_x
_atom_site_fract_y
_atom_site_fract_z
Y1 Y 0.0000 0.1325 0.0679
Np1 Np 0.0000 0.3793 0.2500
S1 S 0.0000 0.0333 0.2500
S2 S 0.0000 0.2265 0.6237
S3 S 0.0000 0.5000 0.0000
# Uncorrected formation energy in eV per atom: -1.818
# Density of states at the Fermi level in states/eV per atom: 1.537
# Crystal system: orthorhombic
# Total energy in hartree per atom: -0.289

[6]
# Y2NpS6 PBE optimized geometry
data_Y2NpS6
_chemical_formula_sum 'Y4 Np2 S12'
_symmetry_space_group_name_H-M 'P 42/m n m'
_symmetry_Int_Tables_number 136
_symmetry_space_group_name_Hall '-P 4n 2n'
_cell_length_a 6.3103
_cell_length_b 6.3103
_cell_length_c 12.0121
_cell_angle_alpha 90.00
_cell_angle_beta 90.00
_cell_angle_gamma 90.00
loop_
_atom_site_label
_atom_site_type_symbol
_atom_site_fract_x
_atom_site_fract_y
_atom_site_fract_z
Y1 Y 0.0000 0.0000 0.1648
Np1 Np 0.0000 0.0000 0.5000
S1 S 0.1909 0.1909 0.3429
S2 S 0.2097 0.2097 0.0000
# Uncorrected formation energy in eV per atom: -1.440
# Density of states at the Fermi level in states/eV per atom: 0.215
# Crystal system: tetragonal
# Total energy in hartree per atom: -0.260